1.
{"formula": "NdTmHf", "functional": "PBE", "state": "optimized geometry", "formation_enthalpy_0k_ev_per_atom": 0.2518, "relative_energy_mev_per_atom": 115, "m_tot_mub_per_atom": 0.000, "rho_g_cm3": 9.31, "final_energy_ev_per_atom": -6.146, "volume_a3_per_cell": 175.4, "spacegroup": "No. 8", "lattice_angstrom": [[5.450, 1.248, -1.698], [3.803, 4.098, -1.698], [-2.472, -1.428, 10.879]], "species": ["Tm", "Tm", "Hf", "Hf", "Nd", "Nd"], "fractional_positions": [[0.087, 0.087, 0.882], [0.477, 0.477, 0.583], [0.673, 0.673, 0.437], [0.281, 0.281, 0.708], [0.285, 0.285, 0.244], [0.457, 0.457, 0.068]]}

2.
{"formula": "La2SbRh", "functional": "PBE", "state": "optimized geometry", "m_tot_mub_per_atom": 0.000, "rho_g_cm3": 6.58, "formation_energy_uncorrected_kj_per_mol_atoms": -75.23, "final_energy_ev_per_atom": -6.112, "volume_a3_per_cell": 126.9, "spacegroup": "No. 99", "lattice_angstrom": [[4.440, 0.000, 0.000], [0.000, 4.440, 0.000], [0.000, 0.000, 6.435]], "species": ["La", "La", "Rh", "Sb"], "fractional_positions": [[0.000, 0.000, 0.939], [0.500, 0.500, 0.357], [0.000, 0.000, 0.350], [0.500, 0.500, 0.854]]}

3.
{"formula": "BeCrP", "functional": "PBE", "state": "optimized geometry", "formation_enthalpy_0k_ev_per_atom": 0.3006, "relative_energy_mev_per_atom": 675, "m_tot_mub_per_atom": 0.000, "rho_g_cm3": 4.46, "final_energy_ev_per_atom": -5.953, "volume_a3_per_cell": 34.2, "spacegroup": "No. 42", "lattice_angstrom": [[5.933, -0.021, 0.018], [5.241, 2.417, -0.034], [0.692, -0.530, 2.381]], "species": ["Cr", "P", "Be"], "fractional_positions": [[0.667, 0.667, 0.333], [0.325, 0.325, 0.675], [0.009, 0.009, 0.991]]}

4.
{"formula": "Ho6As2PdSe3", "functional": "PBE", "state": "optimized geometry", "m_tot_mub_per_atom": 0.000, "rho_g_cm3": 8.51, "formation_energy_uncorrected_kj_per_mol_atoms": -147.89, "final_energy_ev_per_atom": -5.900, "volume_a3_per_cell": 289.2, "spacegroup": "No. 12", "lattice_angstrom": [[4.051, 0.000, 0.000], [0.000, 8.219, 0.263], [-2.026, -2.402, 8.607]], "species": ["Ho", "Ho", "Ho", "Ho", "Ho", "Ho", "Se", "Se", "Se", "Pd", "As", "As"], "fractional_positions": [[0.001, 0.241, 0.002], [0.665, 0.089, 0.330], [0.670, 0.577, 0.340], [0.999, 0.759, 0.998], [0.335, 0.911, 0.670], [0.330, 0.423, 0.660], [0.500, 0.500, 0.000], [0.831, 0.168, 0.662], [0.169, 0.832, 0.338], [0.500, 0.000, 0.000], [0.166, 0.333, 0.332], [0.834, 0.667, 0.668]]}